Entry 1:
{"formula": "DyCd2Ge", "functional": "GGA-PBE", "state": "relaxed", "dos_at_fermi_per_ev_atom": 0.67, "e_form_ev_per_atom": 0.26, "vol_a3_per_cell": 100, "de_polymorph_mev_per_atom": 650, "lattice": [[3.235, 0.000, 0.000], [1.618, 2.802, 0.000], [1.618, 0.934, 11.027]], "species": ["Ge", "Dy", "Cd", "Cd"], "fractional_positions": [[0.500, 0.500, 0.500], [0.000, 0.000, 0.000], [0.094, 0.094, 0.718], [0.906, 0.906, 0.282]]}

Entry 2:
{"formula": "Dy6Cd5Ge", "functional": "GGA-PBE", "state": "relaxed", "dos_at_fermi_per_ev_atom": 1.01, "e_form_ev_per_atom": -0.39, "vol_a3_per_cell": 305, "lattice": [[4.969, -0.030, 1.656], [0.039, 7.352, 0.013], [-0.019, -0.015, 8.339]], "species": ["Dy", "Dy", "Ge", "Cd", "Dy", "Cd", "Cd", "Cd", "Dy", "Cd", "Dy", "Dy"], "fractional_positions": [[0.500, 0.763, 0.000], [0.160, 0.755, 0.681], [0.000, 0.000, 0.000], [0.670, 0.500, 0.661], [0.160, 0.245, 0.681], [0.679, 0.000, 0.642], [0.321, 0.000, 0.358], [0.000, 0.500, 0.000], [0.840, 0.245, 0.319], [0.330, 0.500, 0.339], [0.840, 0.755, 0.319], [0.500, 0.237, 0.000]]}

Entry 3:
{"formula": "DyHoCdGe", "functional": "GGA-PBE", "state": "relaxed", "dos_at_fermi_per_ev_atom": 0.82, "e_form_ev_per_atom": -0.46, "vol_a3_per_cell": 96, "lattice": [[-3.252, 3.689, 1.466], [-0.606, 1.055, 4.985], [1.810, 4.397, 1.931]], "species": ["Ge", "Dy", "Cd", "Ho"], "fractional_positions": [[0.750, 0.750, 0.750], [0.500, 0.500, 0.500], [0.250, 0.250, 0.250], [0.000, 0.000, 0.000]]}

Entry 4:
{"formula": "LaDyCdGe", "functional": "GGA-PBE", "state": "relaxed", "dos_at_fermi_per_ev_atom": 0.66, "e_form_ev_per_atom": -0.49, "vol_a3_per_cell": 104, "lattice": [[5.282, 0.000, 0.000], [2.641, 4.574, 0.000], [2.641, 1.525, 4.312]], "species": ["La", "Ge", "Cd", "Dy"], "fractional_positions": [[0.500, 0.500, 0.500], [0.250, 0.250, 0.250], [0.750, 0.750, 0.750], [0.000, 0.000, 0.000]]}

Entry 5:
{"formula": "DyLuCdGe", "functional": "GGA-PBE", "state": "relaxed", "dos_at_fermi_per_ev_atom": 0.84, "e_form_ev_per_atom": -0.44, "vol_a3_per_cell": 93, "lattice": [[-2.400, 4.211, 1.569], [-2.818, -0.105, 4.243], [1.598, 2.435, 4.180]], "species": ["Cd", "Lu", "Ge", "Dy"], "fractional_positions": [[0.750, 0.750, 0.750], [0.500, 0.500, 0.500], [0.250, 0.250, 0.250], [0.000, 0.000, 0.000]]}

Entry 6:
{"formula": "DyCdGePd", "functional": "GGA-PBE", "state": "relaxed", "dos_at_fermi_per_ev_atom": 0.55, "e_form_ev_per_atom": -0.53, "vol_a3_per_cell": 81, "lattice": [[4.847, 0.000, 0.000], [2.423, 4.197, 0.000], [2.423, 1.399, 3.957]], "species": ["Dy", "Ge", "Pd", "Cd"], "fractional_positions": [[0.000, 0.000, 0.000], [0.250, 0.250, 0.250], [0.750, 0.750, 0.750], [0.500, 0.500, 0.500]]}

Result set for total energy: -2.506, -3.457, -4.142, -4.257, -4.100, -4.359 eV/atom, one per record in the order listed.